VASP calculation (PBE) on La2Hf2Rh after structural relaxation.

abc: 3.8349 3.8349 9.9748
angles: 78.92 78.92 90.00
Sites, in units of the cell vectors:
Hf: 0.2500 0.7500 0.5000
Hf: 0.7500 0.2500 0.5000
La: 0.5832 0.5832 0.8336
La: 0.4168 0.4168 0.1664
Rh: 0.0000 0.0000 0.0000

Output
energy of formation from the pure elements: 0.241 eV per atom
excess energy over the best structure of this formula in the dataset: 395 meV/atom

---

VASP calculation (PBE) on LaHfRh3 after structural relaxation.

abc: 4.8648 4.8648 4.8648
angles: 90.00 90.00 90.00
Sites, in units of the cell vectors:
Rh: 0.0000 0.5000 0.0000
Rh: 0.0000 0.0000 0.5000
Rh: 0.5000 0.0000 0.0000
La: 0.0000 0.0000 0.0000
Hf: 0.5000 0.5000 0.5000

Output
energy of formation from the pure elements: 0.854 eV per atom
excess energy over the best structure of this formula in the dataset: 1030 meV/atom

---

VASP calculation (PBE) on LaHf2Rh after structural relaxation.

abc: 4.8791 4.8791 4.8791
angles: 60.00 60.00 60.00
Sites, in units of the cell vectors:
La: 0.5000 0.5000 0.5000
Rh: 0.0000 0.0000 0.0000
Hf: 0.7500 0.7500 0.7500
Hf: 0.2500 0.2500 0.2500

Output
energy of formation from the pure elements: -0.049 eV per atom
excess energy over the best structure of this formula in the dataset: 0 meV/atom

---

The calculation returns the following calculated density values, one per record and in order: 8.68; 9.03; 12.11 g/cm³.